Record 1
The following is a DFT calculation (PBE) of crystalline Tb7PmSc2 at its relaxed geometry.

a b c (Å): 8.8309 15.1300 5.5846
angles (deg): 90.00 90.00 90.00
Last column: nearest neighbours and their distance in Å.
Space group Cmmm (No. 65)
Symmetry-distinct sites (fractional):
Tb1 0.0000 0.0000 0.0000  2 Sc 3.08, 4 Tb 3.36
Tb2 0.0000 0.2564 0.5000  2 Sc 2.90
Tb3 0.1816 0.3785 0.0000  2 Sc 3.08-3.09, 2 Tb 3.21-3.36
Pm1 0.0000 0.5000 0.5000  10 Tb 3.69-3.71
Sc1 0.0000 0.2038 0.0000  7 Tb 2.90-3.09

Its crystal system is orthorhombic. The calculated density comes out at 6.00 Mg/m³. Its energy of formation from the pure elements is 6.46 eV/f.u. Its total energy is -4.3367 eV per atom.

***

Record 2
The following is a DFT calculation (PBE) of crystalline Tb8PmSc2 at its relaxed geometry.

a b c (Å): 8.8758 15.9090 5.7971
angles (deg): 90.00 122.77 90.00
Last column: nearest neighbours and their distance in Å.
Space group C2/m (No. 12)
Symmetry-distinct sites (fractional):
Tb1 0.0000 0.2084 0.0000  1 Pm 3.31, 2 Sc 3.32, 6 Tb 3.48-3.64
Tb2 0.0730 0.5000 0.7922  3 Tb 2.90-3.24
Tb3 0.2182 0.1205 0.6740  5 Tb 3.24-3.57, 2 Sc 3.35-3.42
Pm1 0.0000 0.0000 0.0000  4 Tb 3.30-3.31
Sc1 0.0000 0.3095 0.5000  8 Tb 3.32-3.42

Its crystal system is monoclinic. The calculated density comes out at 7.27 Mg/m³. Its energy of formation from the pure elements is 1.85 eV/f.u. Its total energy is -4.7821 eV per atom.